# 1
DFT (GGA-PBE) results for crystalline TaFeSe4 at its relaxed geometry.

Properties
V	607	Å³ per cell
formation energy from raw total energies	-1.7	eV per formula unit
total magnetic moment	11.383	μB/cell

Unit cell a=15.0792 b=5.0463 c=8.2854 alpha=90.00 beta=105.61 gamma=90.00
Space group C2/m (No. 12)
Unique sites:
Ta: 0.2079 0.0000 0.2773 x4
Fe: 0.1080 0.0000 0.6877 x4
Se: 0.0634 0.0000 0.3809 x4
Se: 0.1188 0.5000 0.6926 x4
Se: 0.1333 0.0000 0.9911 x4
Se: 0.2345 0.5000 0.3603 x4

# 2
DFT (GGA-PBE) results for crystalline TaFe3Se at its relaxed geometry.

Properties
energy relative to the lowest polymorph listed for this composition	3.42	eV per formula unit
V	96	Å³ per cell
formation energy from raw total energies	7.4	eV per formula unit
total magnetic moment	5.289	μB/cell

Unit cell a=4.5836 b=4.5836 c=4.5836 alpha=90.00 beta=90.00 gamma=90.00
Space group Pm-3m (No. 221)
Unique sites:
Ta: 0.0000 0.0000 0.0000 x1
Fe: 0.0000 0.0000 0.5000 x3
Se: 0.5000 0.5000 0.5000 x1

# 3
DFT (GGA-PBE) results for crystalline Ta2FeSe6 at its relaxed geometry.

Properties
V	371	Å³ per cell
formation energy from raw total energies	-3.6	eV per formula unit
total magnetic moment	0.001	μB/cell

Unit cell a=6.2010 b=6.2328 c=11.2889 alpha=90.00 beta=121.68 gamma=90.00
Space group P2_1/c (No. 14)
Unique sites:
Ta: 0.1781 0.1500 0.2472 x4
Fe: 0.5000 0.0000 0.0000 x2
Se: 0.0981 0.1673 0.9265 x4
Se: 0.2449 0.6677 0.9222 x4
Se: 0.4474 0.0347 0.7735 x4

# 4
DFT (GGA-PBE) results for crystalline Ta11Fe2Se8 at its relaxed geometry.

Properties
V	824	Å³ per cell
formation energy from raw total energies	-11.7	eV per formula unit
total magnetic moment	0.002	μB/cell

Unit cell a=12.2274 b=19.6989 c=3.4216 alpha=90.00 beta=90.00 gamma=90.00
Space group Pnnm (No. 58)
Unique sites:
Ta: 0.0000 0.0000 0.0000 x2
Ta: 0.0559 0.2437 0.0000 x4
Ta: 0.0635 0.1162 0.5000 x4
Ta: 0.1493 0.7879 0.5000 x4
Ta: 0.1742 0.3527 0.5000 x4
Ta: 0.1782 0.9460 0.5000 x4
Fe: 0.0927 0.8731 0.0000 x4
Se: 0.0392 0.6736 0.5000 x4
Se: 0.1118 0.4461 0.0000 x4
Se: 0.2048 0.0558 0.0000 x4
Se: 0.2183 0.2157 0.5000 x4

# 5
DFT (GGA-PBE) results for crystalline Ta3FeSe6 at its relaxed geometry.

Properties
V	827	Å³ per cell
formation energy from raw total energies	-4.1	eV per formula unit
total magnetic moment	2.220	μB/cell

Unit cell a=10.4988 b=12.9408 c=6.0888 alpha=90.00 beta=90.00 gamma=90.00
Space group Cmc2_1 (No. 36)
Unique sites:
Ta: 0.0000 0.1030 0.0000 x4
Ta: 0.1373 0.3656 0.0025 x8
Fe: 0.0000 0.2767 0.7084 x4
Se: 0.0000 0.2715 0.2941 x4
Se: 0.0000 0.4591 0.7088 x4
Se: 0.1526 0.0460 0.3346 x8
Se: 0.1901 0.1977 0.8109 x8

# 6
DFT (GGA-PBE) results for crystalline TaV2FeSe at its relaxed geometry.

Properties
V	104	Å³ per cell
formation energy from raw total energies	7.5	eV per formula unit
total magnetic moment	5.457	μB/cell

Unit cell a=4.7771 b=4.7771 c=4.5483 alpha=90.00 beta=90.00 gamma=90.00
Space group P4/mmm (No. 123)
Unique sites:
Ta: 0.0000 0.0000 0.0000 x1
V: 0.0000 0.5000 0.0000 x2
Fe: 0.0000 0.0000 0.5000 x1
Se: 0.5000 0.5000 0.5000 x1

# 7
DFT (GGA-PBE) results for crystalline YTaFeSe2 at its relaxed geometry.

Properties
V	139	Å³ per cell
formation energy from raw total energies	2.7	eV per formula unit
total magnetic moment	3.370	μB/cell

Unit cell a=4.9372 b=4.9372 c=5.7116 alpha=90.00 beta=90.00 gamma=90.00
Space group P4/mmm (No. 123)
Unique sites:
Y: 0.0000 0.0000 0.0000 x1
Ta: 0.0000 0.0000 0.5000 x1
Fe: 0.5000 0.5000 0.0000 x1
Se: 0.0000 0.5000 0.5000 x2

# 8
DFT (GGA-PBE) results for crystalline ZrTaFe2Se at its relaxed geometry.

Properties
V	108	Å³ per cell
formation energy from raw total energies	8.6	eV per formula unit
total magnetic moment	4.176	μB/cell

Unit cell a=4.5798 b=4.5798 c=5.1434 alpha=90.00 beta=90.00 gamma=90.00
Space group P4/mmm (No. 123)
Unique sites:
Zr: 0.0000 0.0000 0.0000 x1
Ta: 0.0000 0.0000 0.5000 x1
Fe: 0.0000 0.5000 0.0000 x2
Se: 0.5000 0.5000 0.5000 x1

# 9
DFT (GGA-PBE) results for crystalline Tb5Fe2Se2 at its relaxed geometry.

Properties
V	845	Å³ per cell
formation energy from raw total energies	-6.6	eV per formula unit
total magnetic moment	3.019	μB/cell

Unit cell a=15.1500 b=7.4867 c=7.4477 alpha=90.00 beta=90.00 gamma=90.00
Space group Cmce (No. 64)
Unique sites:
Tb: 0.0000 0.0000 0.0000 x4
Tb: 0.1278 0.1707 0.3321 x16
Fe: 0.0000 0.1078 0.6043 x8
Se: 0.2069 0.0000 0.0000 x8

# 10
DFT (GGA-PBE) results for crystalline Fe2TcSe at its relaxed geometry.

Properties
V	213	Å³ per cell
formation energy from raw total energies	1.2	eV per formula unit
total magnetic moment	17.601	μB/cell

Unit cell a=5.9745 b=5.9745 c=5.9745 alpha=90.00 beta=90.00 gamma=90.00
Space group F-43m (No. 216)
Unique sites:
Fe: 0.0000 0.0000 0.0000 x4
Fe: 0.2500 0.2500 0.2500 x4
Tc: 0.2500 0.2500 0.7500 x4
Se: 0.0000 0.0000 0.5000 x4

# 11
DFT (GGA-PBE) results for crystalline FeTc2Se at its relaxed geometry.

Properties
V	121	Å³ per cell
formation energy from raw total energies	1.8	eV per formula unit
total magnetic moment	5.660	μB/cell

Unit cell a=3.0045 b=4.6173 c=8.6912 alpha=90.00 beta=90.00 gamma=90.00
Space group Cmm2 (No. 35)
Unique sites:
Fe: 0.0000 0.0000 0.0000 x2
Tc: 0.0000 0.0000 0.5168 x2
Tc: 0.0000 0.5000 0.7597 x2
Se: 0.0000 0.5000 0.2430 x2

# 12
DFT (GGA-PBE) results for crystalline Fe3TcSe at its relaxed geometry.

Properties
energy relative to the lowest polymorph listed for this composition	0.00	eV per formula unit
V	74	Å³ per cell
formation energy from raw total energies	6.7	eV per formula unit
total magnetic moment	0.001	μB/cell

Unit cell a=4.2046 b=4.2046 c=4.2046 alpha=90.00 beta=90.00 gamma=90.00
Space group Pm-3m (No. 221)
Unique sites:
Fe: 0.0000 0.0000 0.5000 x3
Tc: 0.5000 0.5000 0.5000 x1
Se: 0.0000 0.0000 0.0000 x1

# 13
DFT (GGA-PBE) results for crystalline FeTc2Se at its relaxed geometry.

Properties
V	113	Å³ per cell
formation energy from raw total energies	1.6	eV per formula unit
total magnetic moment	4.316	μB/cell

Unit cell a=3.7094 b=3.7094 c=8.2390 alpha=90.00 beta=90.00 gamma=90.00
Space group I-4m2 (No. 119)
Unique sites:
Fe: 0.0000 0.0000 0.0000 x2
Tc: 0.0000 0.0000 0.5000 x2
Tc: 0.0000 0.5000 0.2500 x2
Se: 0.0000 0.5000 0.7500 x2

# 14
DFT (GGA-PBE) results for crystalline FeTc2Se at its relaxed geometry.

Properties
V	119	Å³ per cell
formation energy from raw total energies	2.1	eV per formula unit
total magnetic moment	5.854	μB/cell

Unit cell a=3.0080 b=4.5586 c=8.7143 alpha=90.00 beta=90.00 gamma=90.00
Space group Cmmm (No. 65)
Unique sites:
Fe: 0.0000 0.0000 0.0000 x2
Tc: 0.0000 0.5000 0.2347 x4
Se: 0.0000 0.0000 0.5000 x2

# 15
DFT (GGA-PBE) results for crystalline FeTc2Se at its relaxed geometry.

Properties
V	58	Å³ per cell
formation energy from raw total energies	1.2	eV per formula unit
total magnetic moment	2.475	μB/cell

Unit cell a=2.9316 b=3.7814 c=5.2398 alpha=90.00 beta=90.00 gamma=90.00
Space group Pmm2 (No. 25)
Unique sites:
Fe: 0.0000 0.0000 0.0000 x1
Tc: 0.0000 0.0000 0.5253 x1
Tc: 0.5000 0.5000 0.7641 x1
Se: 0.5000 0.5000 0.2488 x1

# 16
DFT (GGA-PBE) results for crystalline FeTcSe at its relaxed geometry.

Properties
energy relative to the lowest polymorph listed for this composition	0.33	eV per formula unit
V	84	Å³ per cell
formation energy from raw total energies	0.7	eV per formula unit
total magnetic moment	3.145	μB/cell

Unit cell a=2.9977 b=2.9977 c=9.2974 alpha=90.00 beta=90.00 gamma=90.00
Space group I4mm (No. 107)
Unique sites:
Fe: 0.0000 0.0000 0.0000 x2
Tc: 0.0000 0.0000 0.6725 x2
Se: 0.0000 0.0000 0.3424 x2

# 17
DFT (GGA-PBE) results for crystalline FeTcSe at its relaxed geometry.

Properties
energy relative to the lowest polymorph listed for this composition	1.21	eV per formula unit
V	184	Å³ per cell
formation energy from raw total energies	1.6	eV per formula unit
total magnetic moment	10.324	μB/cell

Unit cell a=3.0939 b=4.7107 c=12.5989 alpha=90.00 beta=90.00 gamma=90.00
Space group Fmm2 (No. 42)
Unique sites:
Fe: 0.0000 0.0000 0.0000 x4
Tc: 0.0000 0.0000 0.3501 x4
Se: 0.0000 0.0000 0.6701 x4

# 18
DFT (GGA-PBE) results for crystalline Fe2TcSe at its relaxed geometry.

Properties
V	54	Å³ per cell
formation energy from raw total energies	0.6	eV per formula unit
total magnetic moment	4.718	μB/cell

Unit cell a=3.0311 b=3.0311 c=5.8824 alpha=90.00 beta=90.00 gamma=90.00
Space group P4mm (No. 99)
Unique sites:
Fe: 0.0000 0.0000 0.0000 x1
Fe: 0.5000 0.5000 0.2237 x1
Tc: 0.5000 0.5000 0.7426 x1
Se: 0.0000 0.0000 0.4733 x1

# 19
DFT (GGA-PBE) results for crystalline FeTc2Se at its relaxed geometry.

Properties
V	174	Å³ per cell
formation energy from raw total energies	1.3	eV per formula unit
total magnetic moment	5.072	μB/cell

Unit cell a=2.8694 b=2.8694 c=24.3720 alpha=90.00 beta=90.00 gamma=120.00
Space group R-3m (No. 166, hexagonal axes)
Unique sites:
Fe: 0.0000 0.0000 0.0000 x3
Tc: 0.0000 0.0000 0.2508 x6
Se: 0.0000 0.0000 0.5000 x3

# 20
DFT (GGA-PBE) results for crystalline Fe2TcSe at its relaxed geometry.

Properties
V	115	Å³ per cell
formation energy from raw total energies	1.7	eV per formula unit
total magnetic moment	10.230	μB/cell

Unit cell a=3.0747 b=4.4644 c=8.3674 alpha=90.00 beta=90.00 gamma=90.00
Space group Cmm2 (No. 35)
Unique sites:
Fe: 0.0000 0.0000 0.0000 x2
Fe: 0.0000 0.5000 0.2259 x2
Tc: 0.0000 0.5000 0.7620 x2
Se: 0.0000 0.0000 0.4755 x2

# 21
DFT (GGA-PBE) results for crystalline FeTc4Se at its relaxed geometry.

Properties
V	386	Å³ per cell
formation energy from raw total energies	4.2	eV per formula unit
total magnetic moment	13.875	μB/cell

Unit cell a=7.2779 b=7.2779 c=7.2779 alpha=90.00 beta=90.00 gamma=90.00
Space group F-43m (No. 216)
Unique sites:
Fe: 0.0000 0.0000 0.0000 x4
Tc: 0.1248 0.1248 0.3752 x16
Se: 0.2500 0.2500 0.7500 x4

# 22
DFT (GGA-PBE) results for crystalline Fe3TcSe at its relaxed geometry.

Properties
energy relative to the lowest polymorph listed for this composition	0.37	eV per formula unit
V	92	Å³ per cell
formation energy from raw total energies	7.1	eV per formula unit
total magnetic moment	6.719	μB/cell

Unit cell a=4.5185 b=4.5185 c=4.5185 alpha=90.00 beta=90.00 gamma=90.00
Space group Pm-3m (No. 221)
Unique sites:
Fe: 0.0000 0.0000 0.5000 x3
Tc: 0.0000 0.0000 0.0000 x1
Se: 0.5000 0.5000 0.5000 x1

# 23
DFT (GGA-PBE) results for crystalline FeTcSe at its relaxed geometry.

Properties
energy relative to the lowest polymorph listed for this composition	0.73	eV per formula unit
V	87	Å³ per cell
formation energy from raw total energies	1.1	eV per formula unit
total magnetic moment	4.955	μB/cell

Unit cell a=3.0563 b=3.7778 c=7.5274 alpha=90.00 beta=90.00 gamma=90.00
Space group Imm2 (No. 44)
Unique sites:
Fe: 0.0000 0.0000 0.0000 x2
Tc: 0.0000 0.0000 0.3459 x2
Se: 0.0000 0.0000 0.6828 x2

# 24
DFT (GGA-PBE) results for crystalline FeTc2Se at its relaxed geometry.

Properties
V	109	Å³ per cell
formation energy from raw total energies	0.9	eV per formula unit
total magnetic moment	1.516	μB/cell

Unit cell a=2.9568 b=4.3086 c=8.5829 alpha=90.00 beta=90.00 gamma=90.00
Space group Imm2 (No. 44)
Unique sites:
Fe: 0.0000 0.0000 0.0000 x2
Tc: 0.0000 0.0000 0.4523 x2
Tc: 0.0000 0.5000 0.2282 x2
Se: 0.0000 0.5000 0.7127 x2

# 25
DFT (GGA-PBE) results for crystalline Fe2TcSe at its relaxed geometry.

Properties
V	108	Å³ per cell
formation energy from raw total energies	1.3	eV per formula unit
total magnetic moment	10.555	μB/cell

Unit cell a=3.1277 b=4.1357 c=8.3780 alpha=90.00 beta=90.00 gamma=90.00
Space group Imm2 (No. 44)
Unique sites:
Fe: 0.0000 0.0000 0.0000 x2
Fe: 0.0000 0.5000 0.2564 x2
Tc: 0.0000 0.5000 0.7664 x2
Se: 0.0000 0.0000 0.5142 x2